[1]
A plane-wave DFT calculation with PBE-GGA was carried out for a relaxed MgSc2InPt4 crystal.

Cell lengths 4.6303, 4.6303, 6.4962 Å; angles 90.00, 90.00, 90.00 degrees
Space group P4/mmm (No. 123)
Asymmetric unit:
Mg: 0.0000 0.0000 0.0000 [1 per cell]
Sc: 0.0000 0.0000 0.5000 [1 per cell]
Sc: 0.5000 0.5000 0.0000 [1 per cell]
In: 0.5000 0.5000 0.5000 [1 per cell]
Pt: 0.0000 0.5000 0.2414 [4 per cell]

Properties
Magnetic moment in μB/f.u.: 0.00
Total energy in eV per atom: -6.143



[2]
A plane-wave DFT calculation with PBE-GGA was carried out for a relaxed Mg4InSiPt2 crystal.

Cell lengths 8.5438, 4.4888, 7.7863 Å; angles 90.00, 90.00, 90.00 degrees
Space group Amm2 (No. 38)
Asymmetric unit:
Mg: 0.1692 0.0000 0.0000 [4 per cell]
Mg: 0.3289 0.0000 0.6673 [4 per cell]
In: 0.5000 0.0000 0.3343 [2 per cell]
Si: 0.0000 0.0000 0.3328 [2 per cell]
Pt: 0.0000 0.0000 0.6661 [2 per cell]
Pt: 0.5000 0.0000 0.0011 [2 per cell]

Properties
Magnetic moment in μB/f.u.: 0.00
Total energy in eV per atom: -3.851



> total energy of number 1 (MgSc2InPt4)?

-6.143 eV per atom